# 1
{
  "formula": "Li4CrGa3O8",
  "functional": "PBE+U",
  "state": "optimized geometry",
  "lattice": [[-1.368, 3.119, 3.701], [-5.307, -0.540, -1.500], [-0.405, -5.070, 4.070]],
  "species": ["O", "O", "O", "O", "O", "O", "O", "O", "Li", "Li", "Li", "Li", "Cr", "Ga", "Ga", "Ga"],
  "fractional_positions": [[0.128, 0.063, 0.901], [0.608, 0.418, 0.846], [0.129, 0.574, 0.609], [0.627, 0.430, 0.380], [0.608, 0.914, 0.634], [0.106, 0.093, 0.367], [0.624, 0.916, 0.122], [0.107, 0.587, 0.139], [0.009, 0.921, 0.626], [0.010, 0.420, 0.871], [0.504, 0.083, 0.381], [0.504, 0.581, 0.121], [0.509, 0.086, 0.882], [0.998, 0.909, 0.134], [0.000, 0.417, 0.370], [0.502, 0.589, 0.618]],
  "sg": "P1 (1)",
  "final_energy_ev_per_atom": -5.9359
}

# 2
{
  "formula": "LiCr2GaO6",
  "functional": "PBE+U",
  "state": "optimized geometry",
  "lattice": [[5.051, 0.027, 0.038], [2.551, 4.325, 0.005], [2.572, 1.435, 4.513]],
  "species": ["Cr", "Cr", "Ga", "O", "O", "O", "O", "O", "O", "Li"],
  "fractional_positions": [[0.017, 0.029, 0.950], [0.519, 0.519, 0.455], [0.320, 0.302, 0.075], [0.901, 0.609, 0.232], [0.724, 0.140, 0.748], [0.131, 0.386, 0.739], [0.252, 0.900, 0.234], [0.623, 0.233, 0.237], [0.378, 0.734, 0.752], [0.797, 0.811, 0.593]],
  "sg": "P1 (1)",
  "final_energy_ev_per_atom": -6.6386
}

Question: Which formula does entry 1 have?
Answer: Li4CrGa3O8